TbPu2VN4: optimized geometry, PBE.

```
TbPu2VN4
1.0
3.341 0.000 0.000
-1.670 5.743 0.000
0.000 0.000 11.904
Pu N V Tb
4 8 2 2
Direct
0.633 0.265 0.456
0.367 0.735 0.544
0.367 0.735 0.956
0.633 0.265 0.044
0.269 0.538 0.370
0.000 0.000 0.000
0.439 0.878 0.750
0.731 0.462 0.630
0.269 0.538 0.130
0.731 0.462 0.870
0.561 0.122 0.250
0.000 0.000 0.500
0.835 0.670 0.750
0.165 0.330 0.250
0.099 0.197 0.750
0.901 0.803 0.250
```

Calculated values
Mass density: 10.96 g/cm³
E_form (uncorrected): -1.144 eV per atom